[1]
Computed, not measured: a geometry-optimized Cd2BAsPb structure at the PBE-GGA level of DFT.

Geometry as POSCAR:
```
Cd2BAsPb
1.0
4.509 0.000 0.000
0.000 5.388 0.000
0.000 0.000 4.509
Pb As B Cd
1 1 1 2
Direct
0.500 0.500 0.500 Pb
0.000 0.500 0.000 As
0.000 0.000 0.000 B
0.000 0.000 0.500 Cd
0.500 0.000 0.000 Cd
```

Output
- Fermi-level density of states: 1.430 states/eV per cell
- E_form: 2.6 eV/f.u.
- Electronic total energy: -2.85 eV/atom
- Size of the total moment: 0.0 μB per formula unit

[2]
Computed, not measured: a geometry-optimized LiZnPCl2 structure at the PBE-GGA level of DFT.

Geometry as POSCAR:
```
LiZnPCl2
1.0
4.480 0.000 0.000
0.000 4.480 0.000
0.000 0.000 5.453
P Zn Li Cl
1 1 1 2
Direct
0.000 0.000 0.500 P
0.500 0.500 0.500 Zn
0.000 0.000 0.000 Li
0.000 0.500 0.000 Cl
0.500 0.000 0.000 Cl
```

Output
- Fermi-level density of states: 2.334 states/eV per cell
- Formation energy without anion corrections: 0.028 eV/atom
- Electronic total energy: -2.43 eV/atom
- Size of the total moment: 2.1 μB per formula unit

[3]
Computed, not measured: a geometry-optimized LiHg4 structure at the PBE-GGA level of DFT.

Geometry as POSCAR:
```
LiHg4
1.0
-3.057 -0.096 4.663
-0.559 -4.853 -2.689
5.362 0.793 1.309
Hg Li
4 1
Direct
0.000 0.500 0.000 Hg
0.500 0.500 0.500 Hg
0.000 0.000 0.500 Hg
0.500 0.000 0.000 Hg
0.000 0.000 0.000 Li
```

Output
- Fermi-level density of states: 0.814 states/eV per cell
- E_form: -0.6 eV/f.u.
- Electronic total energy: -0.75 eV/atom
- Size of the total moment: 0.0 μB per formula unit